[1]
A relaxed structure of Li2LaAsH. Source: the Alexandria database, functional PBE.

```
data_Li2LaAsH
_cell_length_a 4.330
_cell_length_b 4.330
_cell_length_c 4.821
_cell_angle_alpha 90.00
_cell_angle_beta 90.00
_cell_angle_gamma 90.00
_space_group_name_H-M_alt 'P 4/m m m'
_space_group_IT_number 123
_space_group_name_Hall '-P 4 2'
loop_
_atom_site_label
_atom_site_fract_x
_atom_site_fract_y
_atom_site_fract_z
_atom_site_occupancy
Li1 0.000 0.500 0.000 1
La1 0.000 0.000 0.500 1
As1 0.500 0.500 0.500 1
H1 0.000 0.000 0.000 1
```

- density of states at the Fermi level (states/eV/atom) = 0.351
- total magnetization (Bohr magnetons per cell) = 0.00
- E (Ry per atom) = -0.2943

[2]
A relaxed structure of NaLaAsH2. Source: the Alexandria database, functional PBE.

```
data_NaLaAsH2
_cell_length_a 4.206
_cell_length_b 4.206
_cell_length_c 7.942
_cell_angle_alpha 90.00
_cell_angle_beta 90.00
_cell_angle_gamma 90.00
_space_group_name_H-M_alt 'P 4/m m m'
_space_group_IT_number 123
_space_group_name_Hall '-P 4 2'
loop_
_atom_site_label
_atom_site_fract_x
_atom_site_fract_y
_atom_site_fract_z
_atom_site_occupancy
Na1 0.000 0.000 0.000 1
La1 0.000 0.000 0.500 1
As1 0.500 0.500 0.500 1
H1 0.000 0.500 0.000 1
```

- density of states at the Fermi level (states/eV/atom) = 0.324
- total magnetization (Bohr magnetons per cell) = 0.92
- E (Ry per atom) = -0.2475

[3]
A relaxed structure of La2NbAsH. Source: the Alexandria database, functional PBE.

```
data_La2NbAsH
_cell_length_a 5.074
_cell_length_b 5.074
_cell_length_c 4.083
_cell_angle_alpha 90.00
_cell_angle_beta 90.00
_cell_angle_gamma 90.00
_space_group_name_H-M_alt 'P 4/m m m'
_space_group_IT_number 123
_space_group_name_Hall '-P 4 2'
loop_
_atom_site_label
_atom_site_fract_x
_atom_site_fract_y
_atom_site_fract_z
_atom_site_occupancy
La1 0.000 0.500 0.000 1
Nb1 0.000 0.000 0.500 1
As1 0.500 0.500 0.500 1
H1 0.000 0.000 0.000 1
```

- density of states at the Fermi level (states/eV/atom) = 0.750
- total magnetization (Bohr magnetons per cell) = 0.93
- E (Ry per atom) = -0.4355